# Li2NbCSe (PBE, optimized geometry)
# Uncorrected formation energy ... 942 meV per atom
data_Li2NbCSe
_chemical_formula_sum 'Li2 Nb1 C1 Se1'
_cell_length_a 4.1075
_cell_length_b 4.1075
_cell_length_c 5.0487
_cell_angle_alpha 90.00
_cell_angle_beta 90.00
_cell_angle_gamma 90.00
_symmetry_space_group_name_H-M 'P 4/m m m'
_symmetry_Int_Tables_number 123
_symmetry_space_group_name_Hall '-P 4 2'
loop_
_atom_site_label
_atom_site_fract_x
_atom_site_fract_y
_atom_site_fract_z
_atom_site_occupancy
Li1 0.0000 0.5000 0.0000 1
Nb1 0.0000 0.0000 0.5000 1
C1 0.5000 0.5000 0.5000 1
Se1 0.0000 0.0000 0.0000 1